The following is a GGA-PBE calculation of crystalline B2MoBr at its relaxed geometry, from Alexandria via LeMat-Bulk.

Output
excess energy over the best structure of this formula in the dataset = 0.613 eV/atom
total magnetic moment = 0.0 μB/f.u.
density = 6.67 g cm⁻³
raw formation energy = 1.8943 eV/atom

```
B2MoBr
1.0
0.0000 2.9073 2.9073
2.9073 0.0000 2.9073
2.9073 2.9073 0.0000
Br Mo B
1 1 2
Cartesian
0.0000 0.0000 0.0000
2.9073 2.9073 2.9073
4.3610 4.3610 4.3610
1.4537 1.4537 1.4537
```

The following is a GGA-PBE calculation of crystalline CaCe2Nb at its relaxed geometry, from Alexandria via LeMat-Bulk.

Output
total magnetic moment = 0.0 μB/f.u.
DFT formation energy = 0.4095 eV per atom
density = 6.53 g cm⁻³

```
CaCe2Nb
1.0
-2.3046 1.4367 1.6321
-3.0346 -0.5409 -0.7333
-2.0171 -8.9397 8.0966
Ce Nb Ca
2 1 1
Cartesian
-1.9512 -6.3740 5.9312
-5.4051 -1.6699 3.0643
-3.6781 -4.0219 4.4977
0.0000 0.0000 0.0000
```

The following is a GGA-PBE calculation of crystalline ScTeAsF2 at its relaxed geometry, from Alexandria via LeMat-Bulk.

Output
total magnetic moment = 0.0 μB/f.u.
density = 4.85 g cm⁻³
raw formation energy = -2.1471 eV/atom

```
ScTeAsF2
1.0
4.0691 0.0000 0.0000
0.0000 4.0691 0.0000
0.0000 0.0000 5.8983
As Te F Sc
1 1 2 1
Cartesian
0.0000 0.0000 2.9492
2.0346 2.0346 2.9492
0.0000 2.0346 0.0000
2.0346 0.0000 0.0000
0.0000 0.0000 0.0000
```

The following is a GGA-PBE calculation of crystalline CeGaN at its relaxed geometry, from Alexandria via LeMat-Bulk.

Output
total magnetic moment = 0.0 μB/f.u.
density = 6.47 g cm⁻³
raw formation energy = -0.6339 eV/atom

```
CeGaN
1.0
3.2290 0.0000 0.0000
0.0000 3.4234 0.0000
-1.6145 0.0000 10.3931
Ga N Ce
2 2 2
Cartesian
0.0000 2.5675 4.4556
1.6145 0.8558 5.9375
1.6145 2.5675 9.1125
0.0000 0.8558 1.2805
0.0000 0.8558 8.7519
1.6145 2.5675 1.6411
```

Q: Which value of density does entry 4 give?
A: 6.47 g cm⁻³